DFT (PBE) results for a geometry-optimized CoSb2Pt structure.

energy above the most stable polymorph in this dataset: 0 meV/atom
E_form (uncorrected): -0.535 eV/f.u.
total DFT energy (no corrections): -5.482 eV per atom

Cell lengths 3.842, 3.763, 5.302 Å; angles 90.00, 104.39, 90.00 degrees
Sites, in units of the cell vectors:
Co1 0.000 0.000 0.000
Sb1 0.159 0.000 0.507
Sb2 0.491 0.500 0.092
Pt1 0.700 0.500 0.634